KLiH6Rh | PBE | relaxed

Lattice parameters (Å, degrees): 5.040 5.040 5.762 96.21 96.21 44.70
Atoms (fractional coordinates):
K (0.990, 0.879, 0.023)
Li (0.713, 0.602, 0.566)
H (0.157, 0.310, 0.299)
H (0.291, 0.180, 0.707)
H (0.543, 0.432, 0.734)
H (0.928, 0.816, 0.528)
H (0.544, 0.433, 0.333)
H (0.421, 0.046, 0.299)
Rh (0.413, 0.302, 0.512)

Values from the calculation:
As for the mass density: 2.52 g/cm³. For the total energy, the calculation gives -32.70 eV per cell. The crystal system is monoclinic.

K2LiH6Rh | PBE | relaxed

Lattice parameters (Å, degrees): 4.885 5.693 5.693 120.00 90.00 90.00
Atoms (fractional coordinates):
K (0.224, 0.333, 0.667)
K (0.776, 0.667, 0.333)
Li (0.500, 0.000, 0.000)
H (0.799, 0.139, 0.277)
H (0.799, 0.139, 0.861)
H (0.799, 0.723, 0.861)
H (0.201, 0.861, 0.139)
H (0.201, 0.277, 0.139)
H (0.201, 0.861, 0.723)
Rh (0.000, 0.000, 0.000)

Values from the calculation:
As for the mass density: 2.35 g/cm³. For the total energy, the calculation gives -35.67 eV per cell. The crystal system is trigonal.

K2LiSbH | PBE | relaxed

Lattice parameters (Å, degrees): 6.004 6.004 3.783 90.00 90.00 90.00
Atoms (fractional coordinates):
Sb (0.500, 0.500, 0.500)
K (0.000, 0.500, 0.000)
K (0.500, 0.000, 0.000)
H (0.000, 0.000, 0.000)
Li (0.000, 0.000, 0.500)

Values from the calculation:
As for the mass density: 2.53 g/cm³. For the total energy, the calculation gives -12.85 eV per cell. The crystal system is tetragonal.

KLiSiH6 | PBE | relaxed

Lattice parameters (Å, degrees): 4.710 4.710 5.436 90.00 90.00 60.00
Atoms (fractional coordinates):
K (0.000, 0.000, 0.000)
Li (0.667, 0.667, 0.500)
Si (0.333, 0.333, 0.500)
H (0.048, 0.349, 0.329)
H (0.349, 0.048, 0.671)
H (0.603, 0.349, 0.671)
H (0.048, 0.603, 0.671)
H (0.349, 0.603, 0.329)
H (0.603, 0.048, 0.329)

Values from the calculation:
As for the mass density: 1.27 g/cm³. For the total energy, the calculation gives -29.99 eV per cell. The crystal system is trigonal.

KSr2LiH | PBE | relaxed

Lattice parameters (Å, degrees): 5.544 5.544 5.753 90.00 90.00 90.00
Atoms (fractional coordinates):
Sr (0.000, 0.500, 0.000)
Sr (0.500, 0.000, 0.000)
K (0.000, 0.000, 0.500)
H (0.000, 0.000, 0.000)
Li (0.500, 0.500, 0.500)

Values from the calculation:
As for the mass density: 2.09 g/cm³. For the total energy, the calculation gives -9.80 eV per cell. The crystal system is tetragonal.

K2SrLiH | PBE | relaxed

Lattice parameters (Å, degrees): 5.906 5.906 5.342 90.00 90.00 90.00
Atoms (fractional coordinates):
Sr (0.000, 0.000, 0.500)
K (0.000, 0.500, 0.000)
K (0.500, 0.000, 0.000)
H (0.000, 0.000, 0.000)
Li (0.500, 0.500, 0.500)

Values from the calculation:
As for the mass density: 1.55 g/cm³. For the total energy, the calculation gives -8.99 eV per cell. The crystal system is tetragonal.

KLiTcH2 | PBE | relaxed

Lattice parameters (Å, degrees): 4.407 4.952 4.407 90.00 90.00 90.00
Atoms (fractional coordinates):
H (0.000, 0.000, 0.500)
H (0.500, 0.000, 0.000)
K (0.000, 0.000, 0.000)
Tc (0.500, 0.500, 0.500)
Li (0.000, 0.500, 0.000)

Values from the calculation:
As for the mass density: 2.52 g/cm³. For the total energy, the calculation gives -12.69 eV per cell. The crystal system is tetragonal.

K2LiTlH | PBE | relaxed

Lattice parameters (Å, degrees): 6.251 6.251 3.868 90.00 90.00 90.00
Atoms (fractional coordinates):
H (0.000, 0.000, 0.000)
Tl (0.500, 0.500, 0.500)
K (0.000, 0.500, 0.000)
K (0.500, 0.000, 0.000)
Li (0.000, 0.000, 0.500)

Values from the calculation:
As for the mass density: 3.19 g/cm³. For the total energy, the calculation gives -9.86 eV per cell. The crystal system is tetragonal.

K2LiZnH5 | PBE | relaxed

Lattice parameters (Å, degrees): 3.279 7.638 10.931 90.00 90.00 102.39
Atoms (fractional coordinates):
K (0.863, 0.727, 0.825)
K (0.120, 0.240, 0.672)
K (0.137, 0.273, 0.325)
K (0.880, 0.760, 0.172)
Li (0.790, 0.581, 0.538)
Li (0.210, 0.419, 0.038)
Zn (0.574, 0.147, 0.933)
Zn (0.426, 0.853, 0.433)
H (0.332, 0.664, 0.005)
H (0.679, 0.359, 0.891)
H (0.506, 0.012, 0.814)
H (0.306, 0.612, 0.642)
H (0.945, 0.890, 0.503)
H (0.668, 0.336, 0.505)
H (0.321, 0.641, 0.391)
H (0.494, 0.988, 0.314)
H (0.694, 0.388, 0.142)
H (0.055, 0.110, 0.003)

Values from the calculation:
As for the mass density: 1.93 g/cm³. For the total energy, the calculation gives -47.02 eV per cell. The crystal system is orthorhombic.

KLi3Zn4H12 | PBE | relaxed

Lattice parameters (Å, degrees): 6.460 6.460 6.460 106.72 106.72 106.72
Atoms (fractional coordinates):
K (0.000, 0.000, 0.000)
Li (0.563, 0.437, 0.000)
Li (0.437, 0.000, 0.563)
Li (0.000, 0.563, 0.437)
Zn (0.932, 0.068, 0.500)
Zn (0.068, 0.500, 0.932)
Zn (0.500, 0.932, 0.068)
Zn (0.500, 0.500, 0.500)
H (0.500, 0.344, 0.656)
H (0.912, 0.500, 0.088)
H (0.088, 0.912, 0.500)
H (0.500, 0.088, 0.912)
H (0.350, 0.931, 0.230)
H (0.230, 0.350, 0.931)
H (0.931, 0.230, 0.350)
H (0.650, 0.770, 0.069)
H (0.069, 0.650, 0.770)
H (0.770, 0.069, 0.650)
H (0.656, 0.500, 0.344)
H (0.344, 0.656, 0.500)

Values from the calculation:
As for the mass density: 2.45 g/cm³. For the total energy, the calculation gives -53.75 eV per cell. The crystal system is trigonal.

K2LiZnH4 | PBE | relaxed

Lattice parameters (Å, degrees): 4.924 6.383 10.506 84.81 76.45 67.31
Atoms (fractional coordinates):
K (0.175, 0.000, 0.650)
K (0.825, 0.000, 0.350)
K (0.575, 0.500, 0.850)
K (0.925, 0.500, 0.150)
Li (0.750, 0.500, 0.500)
Li (0.000, 0.000, 0.000)
Zn (0.250, 0.500, 0.500)
Zn (0.500, 0.000, 0.000)
H (0.320, 0.832, 0.083)
H (0.236, 0.168, 0.917)
H (0.847, 0.832, 0.917)
H (0.596, 0.168, 0.083)
H (0.430, 0.668, 0.417)
H (0.514, 0.332, 0.583)
H (0.903, 0.668, 0.583)
H (0.154, 0.332, 0.417)

Values from the calculation:
As for the mass density: 1.73 g/cm³. For the total energy, the calculation gives -38.96 eV per cell. The crystal system is orthorhombic.

K2LiZn2H6 | PBE | relaxed

Lattice parameters (Å, degrees): 5.496 5.644 6.517 114.24 90.00 119.13
Atoms (fractional coordinates):
K (0.709, 0.419, 0.177)
K (0.291, 0.581, 0.823)
Li (0.500, 0.000, 0.500)
Zn (0.946, 0.891, 0.771)
Zn (0.054, 0.109, 0.229)
H (0.757, 0.514, 0.656)
H (0.232, 0.952, 0.255)
H (0.280, 0.048, 0.745)
H (0.768, 0.048, 0.745)
H (0.720, 0.952, 0.255)
H (0.243, 0.486, 0.344)

Values from the calculation:
As for the mass density: 2.37 g/cm³. For the total energy, the calculation gives -28.24 eV per cell. The crystal system is monoclinic.